## RhAuS2 (PBE-GGA)

Data for a relaxed structure of RhAuS2.

Properties
M_tot   0.0 μB per cell

Cell and atoms, written as extended XYZ:
```
8
Lattice="3.553 0.000 0.000 1.502 6.405 0.000 0.864 2.871 6.566" Properties=species:S:1:pos:R:3 pbc="T T T"
Rh 0.000 0.000 0.000
Rh 2.948 4.594 3.270
Au 3.696 7.797 3.286
Au 4.259 3.083 0.006
S 1.177 3.347 2.274
S 3.259 6.207 1.491
S 2.653 3.003 5.064
S 4.709 5.830 4.279
```

***

## Cs2TePbS4 (PBE-GGA)

Data for a relaxed structure of Cs2TePbS4.

Properties
M_tot   0.0 μB per cell

Cell and atoms, written as extended XYZ:
```
16
Lattice="0.000 7.581 12.562 3.478 0.000 12.562 3.478 7.581 0.000" Properties=species:S:1:pos:R:3 pbc="T T T"
Cs 2.608 5.686 1.432
Cs 4.347 9.477 7.714
Cs 2.608 5.686 17.411
Cs 4.347 9.477 23.692
Te 2.608 5.686 9.422
Te 4.347 9.477 15.703
Pb 0.869 1.895 3.141
Pb 6.086 13.268 21.984
S 2.814 3.498 4.452
S 4.141 7.289 10.734
S 2.403 7.874 4.452
S 2.403 3.498 14.391
S 4.553 11.665 10.734
S 4.553 7.289 20.672
S 2.814 7.874 14.391
S 4.141 11.665 20.672
```

***

## As2RhSe (PBE-GGA)

Data for a relaxed structure of As2RhSe.

Properties
M_tot   0.0 μB per cell

Cell and atoms, written as extended XYZ:
```
4
Lattice="1.796 1.037 6.661 -1.796 1.037 6.661 0.000 -2.074 6.661" Properties=species:S:1:pos:R:3 pbc="T T T"
As 0.000 0.000 4.796
As 0.000 0.000 15.186
Rh 0.000 0.000 9.991
Se 0.000 0.000 0.000
```

***

no.,E_form (uncorrected) (eV per atom),volume (Å³/atom),uncorrected energy (eV per atom)
1,-0.21,18.678,-4.930
2,-0.46,41.403,-3.589
3,-0.07,18.616,-5.099